## i
Computed, not measured: a relaxed Li2HfAu2 crystal at the PBE level of DFT.

```
Li2HfAu2
1.0
7.4814 0.0000 0.0000
0.0000 7.4814 0.0000
0.0000 0.0000 2.8984
Li Hf Au
4 2 4
Cartesian
0.8299 2.9108 0.0000
2.9108 6.6515 0.0000
4.5706 0.8299 0.0000
6.6515 4.5706 0.0000
0.0000 0.0000 0.0000
3.7407 3.7407 0.0000
1.4119 5.1526 1.4492
2.3288 1.4119 1.4492
5.1526 6.0695 1.4492
6.0695 2.3288 1.4492
```


## ii
Computed, not measured: a relaxed Li2HfAu2 crystal at the PBE level of DFT.

```
Li2HfAu2
1.0
7.2224 0.0000 0.0000
0.0000 7.2224 0.0000
0.0000 0.0000 3.4083
Li Hf Au
4 2 4
Cartesian
1.0870 2.5242 0.0000
2.5242 6.1354 0.0000
4.6982 1.0870 0.0000
6.1354 4.6982 0.0000
0.0000 0.0000 1.7042
3.6112 3.6112 1.7042
1.0329 4.6441 1.7042
2.5783 1.0329 1.7042
4.6441 6.1895 1.7042
6.1895 2.5783 1.7042
```


## iii
Computed, not measured: a relaxed Li2HfAu2 crystal at the PBE level of DFT.

```
Li2HfAu2
1.0
-1.7926 1.7926 6.8584
1.7926 -1.7926 6.8584
1.7926 1.7926 -6.8584
Li Hf Au
2 1 2
Cartesian
1.7926 0.0000 3.4292
0.0000 1.7926 3.4292
0.0000 0.0000 0.0000
0.0000 0.0000 5.4408
0.0000 0.0000 8.2761
```


Relative energy table, unit eV/atom: i 0.000; ii 0.114; iii 0.044


## i
Computed, not measured: a relaxed LiHf2Au crystal at the PBE level of DFT.

```
LiHf2Au
1.0
-3.8395 3.8395 2.7770
3.8395 -3.8395 2.7770
3.8395 3.8395 -2.7770
Li Hf Au
2 4 2
Cartesian
0.0000 0.0000 0.0000
0.0000 3.8395 1.3885
1.9198 -1.8011 2.0828
2.0384 1.9198 0.6943
1.9198 5.6406 -0.6943
1.8011 1.9198 3.4713
3.8395 0.0000 1.3885
0.0000 0.0000 2.7770
```


## ii
Computed, not measured: a relaxed LiHf2Au crystal at the PBE level of DFT.

```
LiHf2Au
1.0
0.0000 3.3655 3.3655
3.3655 0.0000 3.3655
3.3655 3.3655 0.0000
Li Hf Au
1 2 1
Cartesian
0.0000 0.0000 0.0000
1.6828 1.6828 1.6828
5.0483 5.0483 5.0483
3.3655 3.3655 3.3655
```


Relative energy table, unit eV/atom: i 0.250; ii 0.000


## i
Computed, not measured: a relaxed LuHfAu2 crystal at the PBE level of DFT.

```
LuHfAu2
1.0
3.3782 0.0000 0.0000
0.0000 3.3782 0.0000
0.0000 0.0000 7.2783
Lu Hf Au
1 1 2
Cartesian
0.0000 0.0000 0.0000
0.0000 0.0000 3.6391
1.6891 1.6891 1.9233
1.6891 1.6891 5.3550
```


## ii
Computed, not measured: a relaxed LuHfAu2 crystal at the PBE level of DFT.

```
LuHfAu2
1.0
0.0000 3.4656 3.4656
3.4656 0.0000 3.4656
3.4656 3.4656 0.0000
Lu Hf Au
1 1 2
Cartesian
0.0000 0.0000 0.0000
3.4656 3.4656 3.4656
1.7328 1.7328 1.7328
5.1984 5.1984 5.1984
```


Relative energy table, unit eV/atom: i 0.000; ii 0.027